The following is a GGA-PBE calculation of an optimized crystal structure of InFe2Te, from the Alexandria database.

The energy above the most stable polymorph in this dataset comes out at 24 meV per atom. The calculation puts the density of states at the Fermi level at 2.001 states/eV per cell. Its uncorrected formation energy is 0.2089 eV per atom. The total magnetization comes out at 4.84 Bohr magnetons per cell.

The space group is Pm (No. 6) and the conventional cell measures 3.655, 4.012 and 5.291 Å, with angles of 90.00, 110.11 and 90.00 degrees. Symmetry generates all atoms from In at (0.000, 0.000, 0.000), Fe at (0.284, 0.000, 0.568), Fe at (0.421, 0.500, 0.842) and Te at (0.709, 0.500, 0.418).